This record from Alexandria describes BaInAg after structural relaxation. The functional is PBE.

Cell and atoms, written as extended XYZ:
```
12
Lattice="7.5114 0.0000 0.0000 0.0000 7.5114 0.0000 0.0000 0.0000 7.5114" Properties=species:S:1:pos:R:3 pbc="T T T"
Ba 0.0000 0.0000 0.0000
Ba 0.0000 3.7557 3.7557
Ba 3.7557 0.0000 3.7557
Ba 3.7557 3.7557 0.0000
In 0.0000 0.0000 3.7557
In 0.0000 3.7557 0.0000
In 3.7557 0.0000 0.0000
In 3.7557 3.7557 3.7557
Ag 1.8779 1.8779 5.6336
Ag 1.8779 5.6336 1.8779
Ag 5.6336 1.8779 1.8779
Ag 5.6336 5.6336 5.6336
```

Calculated values
- Symmetry: F-43m (216)
- Formation enthalpy at 0 K: -0.15 eV per atom
- Final energy: -2.656 eV/atom
- V: 423.8 Å³/cell
- Spin magnetization: 0.024 μB/cell